Entry 1:
An optimized crystal structure of Ba3Al2Ge2, computed with PBE-GGA.

The structure belongs to space group C2/m (No. 12); the cell edges are 12.593, 4.837 and 8.328 Å and the angles 90.00°, 115.51° and 90.00°. The inequivalent atoms are Ba at (0.000, 0.000, 0.000), Ba at (0.177, 0.000, 0.610), Al at (0.199, 0.500, 0.928) and Ge at (0.005, 0.500, 0.339).

Its formation energy is -0.395 eV/atom. The calculation puts the calculated density at 4.4 g/cm³. For the offset from the most stable computed form, the calculation gives 0.085 eV/atom.

=====

Entry 2:
An optimized crystal structure of BaAlGeH, computed with PBE-GGA.

The structure belongs to space group P3m1 (No. 156); the cell edges are 4.3754, 4.3754 and 5.2481 Å and the angles 90.00°, 90.00° and 120.00°. The inequivalent atoms are Ba at (0.0000, 0.0000, 0.0000), Al at (0.3333, 0.6667, 0.5405), Ge at (0.6667, 0.3333, 0.4533) and H at (0.3333, 0.6667, 0.8721).

The calculation puts the calculated density at 4.5 g/cm³. Its total energy is -0.145 hartree per atom.

=====

Entry 3:
An optimized crystal structure of BaAlGeH2, computed with PBE-GGA.

The structure belongs to space group Cmcm (No. 63); the cell edges are 4.370, 12.064 and 6.359 Å and the angles 90.00°, 90.00° and 90.00°. The inequivalent atoms are Ba at (0.000, 0.215, 0.250), Al at (0.000, 0.500, 0.000), Ge at (0.000, 0.056, 0.750) and H at (0.000, 0.359, 0.561).

The calculation puts the calculated density at 4.7 g/cm³. Its total energy is -0.135 hartree per atom.

=====

Entry 4:
An optimized crystal structure of BaAl2GeH2, computed with PBE-GGA.

The structure belongs to space group P2_1/m (No. 11); the cell edges are 6.086, 5.867 and 6.862 Å and the angles 90.00°, 114.87° and 90.00°. The inequivalent atoms are Ba at (0.245, 0.250, 0.499), Al at (0.260, 0.012, 0.995), Ge at (0.138, 0.750, 0.243), H at (0.365, 0.250, 0.180) and H at (0.433, 0.250, 0.907).

The calculation puts the calculated density at 4.0 g/cm³. Its total energy is -0.132 hartree per atom.

=====

Entry 5:
An optimized crystal structure of BaAlHg2Ge, computed with PBE-GGA.

The structure belongs to space group P4/mmm (No. 123); the cell edges are 5.291, 5.291 and 5.160 Å and the angles 90.00°, 90.00° and 90.00°. The inequivalent atoms are Ba at (0.000, 0.000, 0.000), Al at (0.500, 0.500, 0.500), Hg at (0.000, 0.500, 0.500) and Ge at (0.500, 0.500, 0.000).

Its formation energy is -0.174 eV/atom. The calculation puts the calculated density at 7.3 g/cm³.

=====

Entry 6:
An optimized crystal structure of Ba2Al4HgGe3, computed with PBE-GGA.

The structure belongs to space group P-4m2 (No. 115); the cell edges are 4.790, 4.790 and 10.478 Å and the angles 90.00°, 90.00° and 90.00°. The inequivalent atoms are Ba at (0.000, 0.500, 0.249), Al at (0.000, 0.000, 0.500), Al at (0.000, 0.500, 0.873), Al at (0.500, 0.500, 0.500), Hg at (0.500, 0.500, 0.000), Ge at (0.000, 0.000, 0.000) and Ge at (0.000, 0.500, 0.619).

Its formation energy is -0.308 eV/atom. The calculation puts the calculated density at 5.5 g/cm³.